Compound: TaZn2Ir2
Source: Alexandria
Functional: PBE
Structure: relaxed

Spin magnetization in μB/cell: 0.000
Space group: No. 65
Crystal system: orthorhombic
Density of states at the Fermi level in states/eV/atom: 0.69
Formation energy from the elements in eV/atom: -0.307
Density in g/cm³: 15.2
Energy relative to the lowest polymorph listed for this composition in meV/atom: 0

Lattice parameters (Å, degrees): 3.7801 14.1386 2.8435 90.00 90.00 90.00
With the nearest neighbours (Å) after each atom.
Positions (direct):
Ta: 0.0000 0.0000 0.0000  2 Zn 2.78, 8 Ir 2.79, 2 Ta 2.84
Ta: 0.5000 0.5000 0.0000  2 Zn 2.78, 8 Ir 2.79, 2 Ta 2.84
Zn: 0.0000 0.1968 0.0000  2 Zn 2.41, 4 Ir 2.70
Zn: 0.0000 0.8032 0.0000  2 Zn 2.41, 4 Ir 2.70
Zn: 0.5000 0.3032 0.0000  2 Zn 2.41, 4 Ir 2.70
Zn: 0.5000 0.6968 0.0000  2 Zn 2.41, 4 Ir 2.70
Ir: 0.0000 0.3947 0.5000  4 Zn 2.70, 4 Ta 2.79, 3 Ir 2.84-2.98
Ir: 0.0000 0.6053 0.5000  4 Zn 2.70, 4 Ta 2.79, 3 Ir 2.84-2.98
Ir: 0.5000 0.1053 0.5000  4 Zn 2.70, 4 Ta 2.79, 3 Ir 2.84-2.98
Ir: 0.5000 0.8947 0.5000  4 Zn 2.70, 4 Ta 2.79, 3 Ir 2.84-2.98